The following is a PBE-GGA calculation of a geometry-optimized ZnOsRu2 structure, from Alexandria via LeMat-Bulk.

Its formation energy is 0.2253 eV per atom. The calculation puts the spin magnetization at 0.00 μB/atom. The space-group type is I-4m2, No. 119.

Cell lengths 4.816, 4.816, 4.816 Å; angles 134.40, 134.40, 66.46 degrees
Fractional positions:
Ru  0.000  0.000  0.000
Ru  0.250  0.750  0.500
Os  0.750  0.250  0.500
Zn  0.500  0.500  0.000

***

The following is a PBE-GGA calculation of a geometry-optimized RbNa2ErI6 structure, from Alexandria via LeMat-Bulk.

The calculation puts the spin magnetization at 0.00 μB/atom. The space-group type is R3, No. 146. Its formation energy without anion corrections is -1.3424 eV/atom.

Cell lengths 8.229, 8.229, 8.908 Å; angles 62.48, 62.48, 59.99 degrees
Fractional positions:
Na  0.002  0.002  0.995
Na  0.517  0.517  0.448
I  0.254  0.946  0.232
I  0.723  0.154  0.763
I  0.154  0.359  0.763
I  0.359  0.723  0.763
I  0.569  0.254  0.232
I  0.946  0.569  0.232
Rb  0.810  0.810  0.571
Er  0.328  0.328  0.016

***

The following is a PBE-GGA calculation of a geometry-optimized NaU2Pd9 structure, from Alexandria via LeMat-Bulk.

Its formation energy is -0.4204 eV per atom. The calculation puts the spin magnetization at 0.24 μB/atom. The space-group type is P4/mmm, No. 123.

Cell lengths 4.125, 4.125, 12.152 Å; angles 90.00, 90.00, 90.00 degrees
Each line ends with the local moment (μB).
Fractional positions:
Pd  0.500  0.000  0.500  -0.05
Pd  0.500  0.500  0.666  -0.04
Pd  0.500  0.000  0.831  -0.04
Pd  0.500  0.500  0.334  -0.04
Pd  0.000  0.500  0.169  -0.04
Pd  0.500  0.500  0.000  -0.03
Pd  0.500  0.000  0.169  -0.04
Pd  0.000  0.500  0.831  -0.04
Pd  0.000  0.500  0.500  -0.05
U  0.000  0.000  0.675  1.58
U  0.000  0.000  0.325  1.58
Na  0.000  0.000  0.000  0.00

***

The following is a PBE-GGA calculation of a geometry-optimized NiHg2I6 structure, from Alexandria via LeMat-Bulk.

The calculation puts the spin magnetization at 0.00 μB/atom. The space-group type is P-1, No. 2. Its formation energy without anion corrections is -0.1685 eV/atom.

Cell lengths 4.623, 8.079, 11.534 Å; angles 102.38, 86.22, 118.97 degrees
Fractional positions:
Hg  0.573  0.404  0.249
Hg  0.427  0.596  0.751
I  0.996  0.725  0.898
I  0.004  0.275  0.102
I  0.925  0.822  0.285
I  0.434  0.745  0.544
I  0.075  0.178  0.715
I  0.566  0.255  0.456
Ni  0.000  0.000  0.500

***

The following is a PBE-GGA calculation of a geometry-optimized Nd4Tl2InHg structure, from Alexandria via LeMat-Bulk.

Its formation energy is -0.4316 eV per atom. The calculation puts the spin magnetization at 0.00 μB/atom. The space-group type is R-3m, No. 166.

Cell lengths 5.494, 5.494, 9.524 Å; angles 73.23, 73.23, 60.00 degrees
Fractional positions:
Nd  0.626  0.626  0.122
Nd  0.374  0.374  0.878
Nd  0.876  0.876  0.371
Nd  0.124  0.124  0.629
In  0.500  0.500  0.500
Tl  0.750  0.750  0.751
Tl  0.250  0.250  0.249
Hg  0.000  0.000  0.000

***

The following is a PBE-GGA calculation of a geometry-optimized ThScRu structure, from Alexandria via LeMat-Bulk.

As for the energy above the lowest structure with this stoichiometry: 0 meV/atom. Its formation energy is -0.4300 eV per atom. The calculation puts the spin magnetization at 0.00 μB/atom. The space-group type is Amm2, No. 38.

Cell lengths 7.658, 8.632, 8.632 Å; angles 55.55, 63.67, 63.67 degrees
Fractional positions:
Sc  0.754  0.881  0.880
Sc  0.515  0.119  0.120
Sc  0.754  0.380  0.381
Sc  0.992  0.000  0.000
Sc  0.515  0.620  0.619
Sc  0.992  0.500  0.500
Ru  0.088  0.166  0.167
Ru  0.421  0.333  0.334
Ru  0.753  0.750  0.250
Ru  0.088  0.667  0.666
Ru  0.421  0.834  0.833
Ru  0.753  0.250  0.750
Th  0.179  0.536  0.036
Th  0.179  0.037  0.537
Th  0.752  0.464  0.964
Th  0.752  0.963  0.463
Th  0.327  0.250  0.750
Th  0.327  0.750  0.250

***

The following is a PBE-GGA calculation of a geometry-optimized NaGa2Co2 structure, from Alexandria via LeMat-Bulk.

As for the energy above the lowest structure with this stoichiometry: 201 meV/atom. Its formation energy is 0.1327 eV per atom. The calculation puts the spin magnetization at 0.27 μB/atom. The space-group type is I4/mmm, No. 139.

Cell lengths 4.330, 4.330, 5.313 Å; angles 65.95, 65.95, 90.00 degrees
Each line ends with the local moment (μB).
Fractional positions:
Na  0.000  0.000  0.000  0.00
Co  0.375  0.375  0.251  0.73
Co  0.625  0.625  0.749  0.73
Ga  0.750  0.250  0.500  -0.04
Ga  0.250  0.750  0.500  -0.04

***

The following is a PBE-GGA calculation of a geometry-optimized PmPrHoEr3 structure, from Alexandria via LeMat-Bulk.

Its formation energy is 0.0249 eV per atom. The calculation puts the spin magnetization at 0.00 μB/atom. The space-group type is Cmcm, No. 63.

Cell lengths 5.050, 7.977, 10.103 Å; angles 90.00, 90.00, 108.49 degrees
Fractional positions:
Pr  0.000  0.000  0.000
Pr  0.000  0.000  0.500
Er  0.669  0.338  0.500
Er  0.331  0.662  0.000
Er  0.331  0.662  0.500
Er  0.168  0.337  0.750
Er  0.669  0.338  0.000
Er  0.832  0.663  0.250
Ho  0.169  0.338  0.250
Ho  0.831  0.662  0.750
Pm  0.500  0.000  0.750
Pm  0.500  0.000  0.250

***

D(E_F) in states/eV/cell, matching the order above: 4.45 0.00 17.21 1.15 10.36 21.87 2.46 17.29